First-principles (meta-GGA SCAN) data for a crystal of CsTlSe2 relaxed with PBEsol, as listed in the Alexandria database.

Cell: 8.2681 8.2681 17.0920 Å, 96.91 96.91 90.00°
With the nearest neighbours (Å) after each atom.
Positions (direct):
1 Tl 0.5854 0.7101 0.8333  4 Se 2.65-2.66
2 Se 0.7412 0.3616 0.4324  2 Tl 2.65
3 Se 0.4174 0.5826 0.2500  2 Tl 2.65
4 Tl 0.7101 0.5854 0.3333  4 Se 2.65-2.66
5 Tl 0.2890 0.9164 0.6632  4 Se 2.65-2.66
6 Cs 0.3479 0.2164 0.8869  6 Se 3.63-3.75
7 Se 0.9573 0.0427 0.2500  2 Tl 2.66
8 Se 0.0427 0.9573 0.7500  2 Tl 2.66
9 Se 0.2573 0.1438 0.5648  2 Tl 2.66
10 Se 0.5817 0.9564 0.7464  2 Tl 2.65-2.66
11 Se 0.1438 0.2573 0.0648  2 Tl 2.66
12 Se 0.7427 0.8562 0.4352  2 Tl 2.66
13 Se 0.5826 0.4174 0.7500  2 Tl 2.65
14 Cs 0.6521 0.7836 0.1131  6 Se 3.63-3.75
15 Se 0.6384 0.2588 0.0676  2 Tl 2.65
16 Se 0.0436 0.4183 0.7536  2 Tl 2.65-2.66
17 Cs 0.7822 0.1529 0.6024  6 Se 3.52-3.68
18 Tl 0.2899 0.4146 0.6667  4 Se 2.65-2.66
19 Se 0.2588 0.6384 0.5676  2 Tl 2.65
20 Se 0.8562 0.7427 0.9352  2 Tl 2.66
21 Cs 0.2164 0.3479 0.3869  6 Se 3.63-3.75
22 Cs 0.8471 0.2178 0.8976  6 Se 3.52-3.68
23 Cs 0.7836 0.6521 0.6131  6 Se 3.63-3.75
24 Se 0.9564 0.5817 0.2464  2 Tl 2.65-2.66
25 Cs 0.2178 0.8471 0.3976  6 Se 3.52-3.68
26 Tl 0.4146 0.2899 0.1667  4 Se 2.65-2.66
27 Se 0.4183 0.0436 0.2536  2 Tl 2.65-2.66
28 Tl 0.9164 0.2890 0.1632  4 Se 2.65-2.66
29 Se 0.3616 0.7412 0.9324  2 Tl 2.65
30 Tl 0.7110 0.0836 0.3368  4 Se 2.65-2.66
31 Cs 0.1529 0.7822 0.1024  6 Se 3.52-3.68
32 Tl 0.0836 0.7110 0.8368  4 Se 2.65-2.66

The calculation puts the uncorrected formation energy at -0.80 eV/atom. The magnetic moment comes out at 0.000 μB per formula unit. The total energy comes out at -1228.3 eV for the cell shown. The value obtained for the volume is 36.0 Å³ per atom.